Entry 1:
Here is a relaxed CaInCu3 crystal from Alexandria. Energies are from PBE.

abc: 4.8737 4.8737 4.8737
angles: 90.00 90.00 90.00
With the nearest neighbours (Å) after each atom.
Space group Pm-3m (No. 221)
Inequivalent atoms, fractional coordinates:
Ca  0.0000  0.0000  0.0000 x1  12 Cu 3.45
In  0.5000  0.5000  0.5000 x1  6 Cu 2.44
Cu  0.0000  0.5000  0.5000 x3  2 In 2.44

Calculated values
Energy relative to the lowest polymorph listed for this composition   0.00 eV per formula unit
E_form   0.32 eV/atom


Entry 2:
Here is a relaxed SrZr3Rh crystal from Alexandria. Energies are from PBE.

abc: 5.1824 5.1824 5.1824
angles: 90.00 90.00 90.00
With the nearest neighbours (Å) after each atom.
Space group Pm-3m (No. 221)
Inequivalent atoms, fractional coordinates:
Sr  0.0000  0.0000  0.0000 x1  12 Zr 3.66
Zr  0.0000  0.5000  0.5000 x3  2 Rh 2.59
Rh  0.5000  0.5000  0.5000 x1  6 Zr 2.59

Calculated values
Energy relative to the lowest polymorph listed for this composition   0.00 eV per formula unit
E_form   0.17 eV/atom


Entry 3:
Here is a relaxed PtPbSe2Br crystal from Alexandria. Energies are from PBE.

abc: 5.0395 5.0395 5.1462
angles: 90.00 90.00 90.00
With the nearest neighbours (Å) after each atom.
Space group P4/mmm (No. 123)
Inequivalent atoms, fractional coordinates:
Pt  0.0000  0.0000  0.0000 x1  4 Se 2.52, 2 Br 2.57
Pb  0.5000  0.5000  0.5000 x1  4 Br 3.56, 8 Se 3.60
Se  0.0000  0.5000  0.0000 x2  2 Pt 2.52
Br  0.0000  0.0000  0.5000 x1  2 Pt 2.57

Calculated values
Energy relative to the lowest polymorph listed for this composition   0.00 eV per formula unit
Formation energy without anion corrections   -0.05 eV per atom


Entry 4:
Here is a relaxed SrIrPb2 crystal from Alexandria. Energies are from PBE.

abc: 8.1906 4.7241 6.4166
angles: 90.00 115.08 90.00
With the nearest neighbours (Å) after each atom.
Space group Cm (No. 8)
Inequivalent atoms, fractional coordinates:
Sr  0.0000  0.0000  0.0000 x2  1 Ir 3.18, 6 Pb 3.33-3.43
Ir  0.3170  0.5000  0.4528 x2  6 Pb 2.82-2.95
Pb  0.2140  0.0000  0.6435 x2  3 Ir 2.94-2.95, 3 Pb 3.29
Pb  0.4420  0.0000  0.3274 x2  3 Ir 2.82-2.83

Calculated values
E_form   -0.17 eV/atom


Entry 5:
Here is a relaxed NdErLu2 crystal from Alexandria. Energies are from PBE.

abc: 4.0286 4.0286 7.7524
angles: 90.00 90.00 90.00
With the nearest neighbours (Å) after each atom.
Space group P4/mmm (No. 123)
Inequivalent atoms, fractional coordinates:
Nd  0.0000  0.0000  0.0000 x1  8 Lu 3.49, 2 Er 3.88
Er  0.0000  0.0000  0.5000 x1  8 Lu 3.40
Lu  0.5000  0.5000  0.2602 x2  4 Er 3.40, 4 Nd 3.49, 1 Lu 3.72

Calculated values
Energy relative to the lowest polymorph listed for this composition   0.26 eV per formula unit
E_form   0.10 eV/atom


Entry 6:
Here is a relaxed Ac3Si4Ir crystal from Alexandria. Energies are from PBE.

abc: 20.8785 4.3099 4.5028
angles: 90.00 101.47 90.00
With the nearest neighbours (Å) after each atom.
Space group C2/m (No. 12)
Inequivalent atoms, fractional coordinates:
Ac  0.0000  0.0000  0.0000 x2  4 Ir 3.12, 4 Si 3.19
Ac  0.1626  0.0000  0.4392 x4  10 Si 3.21-3.38, 1 Ac 3.57
Si  0.1040  0.5000  0.8769 x4  1 Si 2.38, 1 Ir 2.48
Si  0.2204  0.5000  0.9777 x4  3 Si 2.38-2.47
Ir  0.0000  0.5000  0.5000 x2  2 Si 2.48

Calculated values
Formation energy without anion corrections   -0.53 eV per atom


Entry 7:
Here is a relaxed Fe2MoBr crystal from Alexandria. Energies are from PBE.

abc: 8.9290 2.9761 4.7632
angles: 90.00 92.23 90.00
With the nearest neighbours (Å) after each atom.
Space group C2/m (No. 12)
Inequivalent atoms, fractional coordinates:
Fe  0.2322  0.0000  0.1865 x4  2 Fe 2.35, 1 Mo 2.58, 1 Br 2.60
Mo  0.0000  0.5000  0.0000 x2  6 Fe 2.58-2.68, 4 Br 2.81
Br  0.0000  0.0000  0.5000 x2  2 Fe 2.60, 4 Mo 2.81

Calculated values
Energy relative to the lowest polymorph listed for this composition   1.38 eV per formula unit
Formation energy without anion corrections   0.77 eV per atom


Entry 8:
Here is a relaxed SmBeAl2Pt4 crystal from Alexandria. Energies are from PBE.

abc: 4.2348 4.2348 25.7483
angles: 90.00 90.00 120.00
With the nearest neighbours (Å) after each atom.
Space group R-3m (No. 166, hexagonal axes)
Inequivalent atoms, fractional coordinates:
Sm  0.0000  0.0000  0.0000 x3  6 Pt 3.10, 6 Al 3.45
Be  0.0000  0.0000  0.5000 x3  8 Pt 2.38-2.56
Al  0.0000  0.0000  0.2387 x6  7 Pt 2.50-2.68
Pt  0.0000  0.0000  0.1370 x6  3 Be 2.56, 4 Al 2.62-2.68
Pt  0.0000  0.0000  0.4074 x6  1 Be 2.38, 3 Al 2.50

Calculated values
E_form   -1.02 eV/atom


| no. | calculated volume (A^3/atom) | total magnetic moment (μB per cell) |
| --- | --- | --- |
| 1 | 23.2 | 0.00 |
| 2 | 27.8 | 0.00 |
| 3 | 26.1 | 0.00 |
| 4 | 28.1 | 0.00 |
| 5 | 31.5 | 0.00 |
| 6 | 24.8 | 0.00 |
| 7 | 15.8 | 8.18 |
| 8 | 16.7 | 0.00 |